Record 1
PrNd8Ho5 after structural relaxation, computed with PBE.

Structure (extended XYZ):
```
14
Lattice="8.334 -0.111 -1.979 -4.645 6.647 -3.177 0.821 0.112 8.526" Properties=species:S:1:pos:R:3 pbc="T T T"
Pr -1.114 3.381 3.252
Nd -1.555 4.844 -1.956
Nd 0.363 1.437 5.456
Nd 4.690 1.368 0.589
Nd 4.469 2.999 5.177
Nd 1.698 3.649 -0.630
Nd 1.457 5.325 3.929
Nd 2.155 1.808 2.530
Nd -2.573 5.278 1.070
Ho 6.876 1.636 -2.024
Ho 3.097 6.291 -2.613
Ho 3.992 4.903 2.003
Ho 0.778 6.645 0.701
Ho 3.036 0.359 7.143
```

M_tot = 0.000 μB/atom
DFT formation energy = 0.17 eV per atom
Total DFT energy (no corrections) = -63.456 eV/cell

Record 2
CsAgB2Se after structural relaxation, computed with PBE.

Structure (extended XYZ):
```
5
Lattice="-2.598 3.142 -2.130 -0.337 -3.349 -4.530 -3.786 -1.958 1.729" Properties=species:S:1:pos:R:3 pbc="T T T"
Cs -3.360 -1.082 -2.465
B -1.893 -0.979 0.864
B -1.299 1.571 -1.065
Se -0.168 -1.674 -2.265
Ag 0.000 0.000 0.000
```

M_tot = 0.000 μB/atom
Total DFT energy (no corrections) = -14.220 eV/cell

Record 3
LaCoRe after structural relaxation, computed with PBE.

Structure (extended XYZ):
```
3
Lattice="-3.920 -0.272 -2.146 -2.441 -3.744 0.264 -3.828 -0.017 2.323" Properties=species:S:1:pos:R:3 pbc="T T T"
Co -7.642 -3.025 0.330
La 0.000 0.000 0.000
Re -5.095 -2.017 0.220
```

M_tot = 1.066 μB/atom
DFT formation energy = 0.79 eV per atom
Total DFT energy (no corrections) = -22.117 eV/cell
Excess energy over the best structure of this formula in the dataset = 705 meV/atom